Entry 1:
Below is a relaxed CuSiF2 crystal, with properties calculated at the GGA-PBE level.

Structure (CIF):
```
data_CuSiF2
_symmetry_space_group_name_H-M 'P 1'
_symmetry_Int_Tables_number 1
_symmetry_space_group_name_Hall 'P 1'
_cell_length_a 7.686
_cell_length_b 7.686
_cell_length_c 7.686
_cell_angle_alpha 20.60
_cell_angle_beta 20.60
_cell_angle_gamma 20.60
loop_
_atom_site_label
_atom_site_type_symbol
_atom_site_fract_x
_atom_site_fract_y
_atom_site_fract_z
Si1 Si 0.500 0.500 0.500
Cu1 Cu 0.000 0.000 0.000
F1 F 0.918 0.918 0.918
F2 F 0.082 0.082 0.082
```

Results
formation energy (no corrections)	-0.902	eV/atom
total DFT energy (no corrections)	-16.868	eV/cell
energy relative to the lowest polymorph listed for this composition	0.338	eV per atom

Entry 2:
Below is a relaxed CuSi2F crystal, with properties calculated at the GGA-PBE level.

Structure (CIF):
```
data_CuSi2F
_symmetry_space_group_name_H-M 'P 1'
_symmetry_Int_Tables_number 1
_symmetry_space_group_name_Hall 'P 1'
_cell_length_a 3.457
_cell_length_b 3.457
_cell_length_c 9.566
_cell_angle_alpha 79.59
_cell_angle_beta 79.59
_cell_angle_gamma 90.00
loop_
_atom_site_label
_atom_site_type_symbol
_atom_site_fract_x
_atom_site_fract_y
_atom_site_fract_z
Si1 Si 0.631 0.125 0.250
Si2 Si 0.119 0.625 0.250
Si3 Si 0.375 0.369 0.750
Si4 Si 0.875 0.881 0.750
Cu1 Cu 0.000 0.000 0.000
Cu2 Cu 0.750 0.250 0.500
F1 F 0.500 0.500 0.000
F2 F 0.250 0.750 0.500
```

Results
formation energy (no corrections)	-0.133	eV/atom
total DFT energy (no corrections)	-34.687	eV/cell
energy relative to the lowest polymorph listed for this composition	0.035	eV per atom

Entry 3:
Below is a relaxed CuSiF crystal, with properties calculated at the GGA-PBE level.

Structure (CIF):
```
data_CuSiF
_symmetry_space_group_name_H-M 'P 1'
_symmetry_Int_Tables_number 1
_symmetry_space_group_name_Hall 'P 1'
_cell_length_a 4.049
_cell_length_b 4.501
_cell_length_c 9.293
_cell_angle_alpha 90.00
_cell_angle_beta 90.00
_cell_angle_gamma 90.00
loop_
_atom_site_label
_atom_site_type_symbol
_atom_site_fract_x
_atom_site_fract_y
_atom_site_fract_z
Si1 Si 0.076 0.079 0.203
Si2 Si 0.576 0.921 0.797
Si3 Si 0.076 0.579 0.797
Si4 Si 0.576 0.421 0.203
F1 F 0.077 0.015 0.374
F2 F 0.577 0.985 0.626
F3 F 0.077 0.515 0.626
F4 F 0.577 0.485 0.374
Cu1 Cu 0.076 0.582 0.091
Cu2 Cu 0.576 0.418 0.909
Cu3 Cu 0.076 0.082 0.909
Cu4 Cu 0.576 0.918 0.091
```

Results
formation energy (no corrections)	-1.096	eV/atom
total DFT energy (no corrections)	-58.710	eV/cell

Entry 4:
Below is a relaxed Cu2Si2F crystal, with properties calculated at the GGA-PBE level.

Structure (CIF):
```
data_Cu2Si2F
_symmetry_space_group_name_H-M 'P 1'
_symmetry_Int_Tables_number 1
_symmetry_space_group_name_Hall 'P 1'
_cell_length_a 4.315
_cell_length_b 4.315
_cell_length_c 4.038
_cell_angle_alpha 90.00
_cell_angle_beta 90.00
_cell_angle_gamma 90.00
loop_
_atom_site_label
_atom_site_type_symbol
_atom_site_fract_x
_atom_site_fract_y
_atom_site_fract_z
Si1 Si 0.000 0.500 0.000
Si2 Si 0.500 0.000 0.000
Cu1 Cu 0.500 0.500 0.500
Cu2 Cu 0.000 0.000 0.500
F1 F 0.000 0.000 0.000
```

Results
formation energy (no corrections)	0.451	eV/atom
total DFT energy (no corrections)	-18.654	eV/cell

Entry 5:
Below is a relaxed CuSiF2 crystal, with properties calculated at the GGA-PBE level.

Structure (CIF):
```
data_CuSiF2
_symmetry_space_group_name_H-M 'P 1'
_symmetry_Int_Tables_number 1
_symmetry_space_group_name_Hall 'P 1'
_cell_length_a 9.288
_cell_length_b 9.288
_cell_length_c 9.288
_cell_angle_alpha 16.28
_cell_angle_beta 16.28
_cell_angle_gamma 16.28
loop_
_atom_site_label
_atom_site_type_symbol
_atom_site_fract_x
_atom_site_fract_y
_atom_site_fract_z
Si1 Si 0.000 0.000 0.000
Cu1 Cu 0.500 0.500 0.500
F1 F 0.940 0.940 0.940
F2 F 0.060 0.060 0.060
```

Results
formation energy (no corrections)	-1.239	eV/atom
total DFT energy (no corrections)	-18.219	eV/cell
energy relative to the lowest polymorph listed for this composition	0.000	eV per atom

Entry 6:
Below is a relaxed Cu2SiF8 crystal, with properties calculated at the GGA-PBE level.

Structure (CIF):
```
data_Cu2SiF8
_symmetry_space_group_name_H-M 'P 1'
_symmetry_Int_Tables_number 1
_symmetry_space_group_name_Hall 'P 1'
_cell_length_a 4.008
_cell_length_b 5.974
_cell_length_c 5.974
_cell_angle_alpha 120.00
_cell_angle_beta 90.00
_cell_angle_gamma 90.00
loop_
_atom_site_label
_atom_site_type_symbol
_atom_site_fract_x
_atom_site_fract_y
_atom_site_fract_z
Si1 Si 0.500 0.000 0.000
Cu1 Cu 0.725 0.333 0.667
Cu2 Cu 0.275 0.667 0.333
F1 F 0.772 0.667 0.333
F2 F 0.228 0.333 0.667
F3 F 0.262 0.275 0.137
F4 F 0.738 0.725 0.863
F5 F 0.738 0.137 0.863
F6 F 0.262 0.863 0.137
F7 F 0.262 0.863 0.725
F8 F 0.738 0.137 0.275
```

Results
formation energy (no corrections)	-2.081	eV/atom
total DFT energy (no corrections)	-51.478	eV/cell